# Nb2I8F, optimized geometry, DFT PBE
# total DFT energy (no corrections)	-3.819	eV/atom
# spin magnetization	2.08	μB per cell
data_Nb2I8F
_chemical_formula_sum 'Nb4 I16 F2'
_symmetry_space_group_name_H-M 'C 1 2/m 1'
_symmetry_Int_Tables_number 12
_symmetry_space_group_name_Hall '-C 2y'
_cell_length_a 14.9875
_cell_length_b 10.1027
_cell_length_c 7.9358
_cell_angle_alpha 90.00
_cell_angle_beta 108.97
_cell_angle_gamma 90.00
loop_
_atom_site_label
_atom_site_fract_x
_atom_site_fract_y
_atom_site_fract_z
Nb1 0.1485 0.0000 0.1297
I1 0.1199 0.2256 0.2763
I2 0.1593 0.0000 0.8023
I3 0.1638 0.5000 0.7082
F1 0.0000 0.0000 0.0000

***

# NbI2F, optimized geometry, DFT PBE
# total DFT energy (no corrections)	-4.053	eV/atom
# spin magnetization	8.00	μB per cell
data_NbI2F
_chemical_formula_sum 'Nb4 I8 F4'
_symmetry_space_group_name_H-M 'I -4 2 d'
_symmetry_Int_Tables_number 122
_symmetry_space_group_name_Hall 'I -4 2bw'
_cell_length_a 7.1912
_cell_length_b 7.1912
_cell_length_c 9.0650
_cell_angle_alpha 90.00
_cell_angle_beta 90.00
_cell_angle_gamma 90.00
loop_
_atom_site_label
_atom_site_fract_x
_atom_site_fract_y
_atom_site_fract_z
Nb1 0.0000 0.0000 0.0000
I1 0.2380 0.2500 0.1250
F1 0.0000 0.0000 0.5000